[1]
# PmDy3Mg6, optimized geometry, DFT PBE-GGA
# ΔE_f	-0.070	eV per atom
# E	-28.82	eV/f.u.
data_PmDy3Mg6
_space_group_name_H-M_alt 'P 1'
_space_group_IT_number 1
_cell_length_a 9.2855
_cell_length_b 5.2911
_cell_length_c 11.2967
_cell_angle_alpha 90.00
_cell_angle_beta 105.94
_cell_angle_gamma 90.00
loop_
_space_group_symop_operation_xyz
'x,y,z'
loop_
_atom_site_label
_atom_site_fract_x
_atom_site_fract_y
_atom_site_fract_z
Pm1 0.0533 0.2500 0.3955
Pm2 0.9467 0.7500 0.6045
Dy1 0.2494 0.2500 0.9972
Dy2 0.3516 0.7500 0.7972
Dy3 0.4572 0.2500 0.6040
Dy4 0.5428 0.7500 0.3960
Dy5 0.6484 0.2500 0.2028
Dy6 0.7506 0.7500 0.0028
Mg1 0.0491 0.7500 0.9038
Mg2 0.1463 0.2500 0.7019
Mg3 0.1470 0.7500 0.1954
Mg4 0.2480 0.7500 0.4932
Mg5 0.3438 0.2500 0.2936
Mg6 0.4431 0.7500 0.1002
Mg7 0.5569 0.2500 0.8998
Mg8 0.6562 0.7500 0.7064
Mg9 0.7520 0.2500 0.5068
Mg10 0.8530 0.2500 0.8046
Mg11 0.8537 0.7500 0.2981
Mg12 0.9509 0.2500 0.0962



[2]
# CeYBiPb, optimized geometry, DFT PBE-GGA
# ΔE_f	-0.480	eV per atom
# E	-21.91	eV/f.u.
data_CeYBiPb
_space_group_name_H-M_alt 'P 1'
_space_group_IT_number 1
_cell_length_a 5.5233
_cell_length_b 5.5233
_cell_length_c 5.5233
_cell_angle_alpha 60.00
_cell_angle_beta 60.00
_cell_angle_gamma 60.00
loop_
_space_group_symop_operation_xyz
'x,y,z'
loop_
_atom_site_label
_atom_site_fract_x
_atom_site_fract_y
_atom_site_fract_z
Ce1 0.0000 0.0000 0.0000
Y1 0.5000 0.5000 0.5000
Bi1 0.7500 0.7500 0.7500
Pb1 0.2500 0.2500 0.2500



[3]
# SrPmSn, optimized geometry, DFT PBE-GGA
# ΔE_f	-0.317	eV per atom
# E	-11.39	eV/f.u.
data_SrPmSn
_space_group_name_H-M_alt 'P 1'
_space_group_IT_number 1
_cell_length_a 5.3313
_cell_length_b 5.3313
_cell_length_c 4.2469
_cell_angle_alpha 90.00
_cell_angle_beta 90.00
_cell_angle_gamma 120.00
loop_
_space_group_symop_operation_xyz
'x,y,z'
loop_
_atom_site_label
_atom_site_fract_x
_atom_site_fract_y
_atom_site_fract_z
Sr1 0.0000 0.0000 0.0000
Pm1 0.3333 0.6667 0.5415
Sn1 0.6667 0.3333 0.3758



[4]
# Mg7Fe, optimized geometry, DFT PBE-GGA
# ΔE_f	0.136	eV per atom
# E	-18.54	eV/f.u.
data_Mg7Fe
_space_group_name_H-M_alt 'P 1'
_space_group_IT_number 1
_cell_length_a 6.1502
_cell_length_b 6.1502
_cell_length_c 6.1502
_cell_angle_alpha 60.00
_cell_angle_beta 60.00
_cell_angle_gamma 60.00
loop_
_space_group_symop_operation_xyz
'x,y,z'
loop_
_atom_site_label
_atom_site_fract_x
_atom_site_fract_y
_atom_site_fract_z
Mg1 0.0000 0.0000 0.0000
Mg2 0.0000 0.0000 0.5000
Mg3 0.0000 0.5000 0.0000
Mg4 0.0000 0.5000 0.5000
Mg5 0.5000 0.0000 0.0000
Mg6 0.5000 0.0000 0.5000
Mg7 0.5000 0.5000 0.0000
Fe1 0.5000 0.5000 0.5000



[5]
# V2Fe2W, optimized geometry, DFT PBE-GGA
# ΔE_f	0.081	eV per atom
# E	-47.71	eV/f.u.
data_V2Fe2W
_space_group_name_H-M_alt 'P 1'
_space_group_IT_number 1
_cell_length_a 6.8422
_cell_length_b 6.8422
_cell_length_c 2.7270
_cell_angle_alpha 90.00
_cell_angle_beta 90.00
_cell_angle_gamma 90.00
loop_
_space_group_symop_operation_xyz
'x,y,z'
loop_
_atom_site_label
_atom_site_fract_x
_atom_site_fract_y
_atom_site_fract_z
V1 0.1602 0.3398 0.0000
V2 0.3398 0.8398 0.0000
V3 0.6602 0.1602 0.0000
V4 0.8398 0.6602 0.0000
Fe1 0.1351 0.6351 0.5000
Fe2 0.3649 0.1351 0.5000
Fe3 0.6351 0.8649 0.5000
Fe4 0.8649 0.3649 0.5000
W1 0.0000 0.0000 0.5000
W2 0.5000 0.5000 0.5000



[6]
# CaTa2Al, optimized geometry, DFT PBE-GGA
# ΔE_f	0.749	eV per atom
# E	-26.45	eV/f.u.
data_CaTa2Al
_space_group_name_H-M_alt 'P 1'
_space_group_IT_number 1
_cell_length_a 10.6550
_cell_length_b 10.6550
_cell_length_c 10.6550
_cell_angle_alpha 157.92
_cell_angle_beta 157.92
_cell_angle_gamma 31.42
loop_
_space_group_symop_operation_xyz
'x,y,z'
loop_
_atom_site_label
_atom_site_fract_x
_atom_site_fract_y
_atom_site_fract_z
Ca1 0.0000 0.0000 0.0000
Ca2 0.7500 0.2500 0.5000
Ta1 0.1423 0.6250 0.0173
Ta2 0.3750 0.3923 0.5173
Ta3 0.6077 0.1250 0.9827
Ta4 0.8750 0.8577 0.4827
Al1 0.2500 0.7500 0.5000
Al2 0.5000 0.5000 0.0000